No. 1
This record from OQMD via LeMat-Bulk describes a relaxed structure of HfFeGe. The functional is PBE.

a = 4.159 Å, b = 4.159 Å, c = 4.159 Å
α = 60.00°, β = 60.00°, γ = 60.00°
Atoms (fractional coordinates):
Fe 0.000 0.000 0.000
Ge 0.250 0.250 0.250
Hf 0.750 0.750 0.750

- VASP energy: -7.856 eV/atom
- Total moment: 1.63 μB per cell



No. 2
This record from OQMD via LeMat-Bulk describes a relaxed structure of TmAlTlTe3. The functional is PBE.

a = 7.985 Å, b = 7.985 Å, c = 11.346 Å
α = 90.00°, β = 90.00°, γ = 147.64°
Atoms (fractional coordinates):
Tm 0.500 0.500 0.000
Te 0.133 0.867 0.943
Te 0.867 0.133 0.057
Te 0.424 0.576 0.750
Te 0.133 0.867 0.557
Tl 0.264 0.736 0.250
Al 0.031 0.969 0.750
Tl 0.736 0.264 0.750
Tm 0.500 0.500 0.500
Te 0.576 0.424 0.250
Te 0.867 0.133 0.443
Al 0.969 0.031 0.250

- Excess energy over the best structure of this formula in the dataset: 0.000 eV per atom
- Total moment: 0.02 μB per cell



No. 3
This record from OQMD via LeMat-Bulk describes a relaxed structure of Cu2SbAs. The functional is PBE.

a = 6.526 Å, b = 6.526 Å, c = 6.526 Å
α = 90.00°, β = 90.00°, γ = 90.00°
Atoms (fractional coordinates):
As 0.500 0.000 0.000
Cu 0.775 0.225 0.775
Cu 0.225 0.225 0.225
Cu 0.775 0.225 0.225
Cu 0.225 0.775 0.225
Cu 0.225 0.225 0.775
Sb 0.500 0.000 0.500
As 0.000 0.500 0.000
Sb 0.500 0.500 0.000
Cu 0.225 0.775 0.775
Sb 0.500 0.500 0.500
As 0.000 0.000 0.500
As 0.000 0.000 0.000
Sb 0.000 0.500 0.500
Cu 0.775 0.775 0.775
Cu 0.775 0.775 0.225

- VASP energy: -3.773 eV/atom



No. 4
This record from OQMD via LeMat-Bulk describes a relaxed structure of ZnIn2Cu4Ni. The functional is PBE.

a = 4.312 Å, b = 4.312 Å, c = 6.127 Å
α = 90.00°, β = 90.00°, γ = 90.00°
Atoms (fractional coordinates):
Cu 0.000 0.500 0.246
Cu 0.000 0.500 0.754
Zn 0.000 0.000 0.500
Ni 0.500 0.500 0.000
Cu 0.500 0.000 0.246
Cu 0.500 0.000 0.754
In 0.000 0.000 0.000
In 0.500 0.500 0.500

- VASP energy: -3.368 eV/atom
- Total moment: 0.00 μB per cell



No. 5
This record from OQMD via LeMat-Bulk describes a relaxed structure of HfZrCoAu. The functional is PBE.

a = 4.589 Å, b = 4.589 Å, c = 4.589 Å
α = 60.00°, β = 60.00°, γ = 60.00°
Atoms (fractional coordinates):
Co 0.000 0.000 0.000
Zr 0.250 0.250 0.250
Hf 0.500 0.500 0.500
Au 0.750 0.750 0.750

- Excess energy over the best structure of this formula in the dataset: 0.156 eV per atom
- Total moment: 0.00 μB per cell
- Energy relative to the elements: -140 meV per atom



No. 6
This record from OQMD via LeMat-Bulk describes a relaxed structure of Nb4CuSbN2. The functional is PBE.

a = 3.249 Å, b = 3.249 Å, c = 13.024 Å
α = 90.00°, β = 90.00°, γ = 120.00°
Atoms (fractional coordinates):
Sb 0.667 0.333 0.500
N 0.000 0.000 0.239
Nb 0.333 0.667 0.328
Nb 0.667 0.333 0.845
Cu 0.333 0.667 0.000
N 0.000 0.000 0.761
Nb 0.667 0.333 0.155
Nb 0.333 0.667 0.672

- VASP energy: -8.534 eV/atom
- Total moment: 0.00 μB per cell



No. 7
This record from OQMD via LeMat-Bulk describes a relaxed structure of DyLuNO. The functional is PBE.

a = 3.946 Å, b = 4.800 Å, c = 6.742 Å
α = 90.00°, β = 90.00°, γ = 90.00°
Atoms (fractional coordinates):
N 0.000 0.439 0.677
Dy 0.000 0.939 0.662
Lu 0.500 0.439 0.827
O 0.500 0.438 0.154
Lu 0.500 0.939 0.174
O 0.500 0.938 0.846
N 0.000 0.939 0.323
Dy 0.000 0.439 0.338

- Excess energy over the best structure of this formula in the dataset: 0.089 eV per atom
- Total moment: 0.02 μB per cell



No. 8
This record from OQMD via LeMat-Bulk describes a relaxed structure of Zr2Sc4Au3C3. The functional is PBE.

a = 5.826 Å, b = 5.826 Å, c = 14.272 Å
α = 78.25°, β = 78.25°, γ = 60.05°
Atoms (fractional coordinates):
Sc 0.192 0.034 0.411
Au 0.066 0.934 0.750
Sc 0.697 0.867 0.911
Au 0.417 0.233 0.751
C 0.182 0.659 0.500
Sc 0.034 0.192 0.911
C 0.500 0.000 0.500
Au 0.583 0.767 0.249
Zr 0.360 0.531 0.908
Sc 0.303 0.133 0.089
Sc 0.808 0.966 0.589
Sc 0.867 0.697 0.411
Au 0.934 0.066 0.250
Au 0.767 0.583 0.749
Sc 0.966 0.808 0.089
C 0.341 0.818 0.000
Zr 0.469 0.640 0.592
C 0.659 0.182 0.000
C 0.000 0.500 0.000
C 0.818 0.341 0.500
Sc 0.133 0.303 0.589
Au 0.233 0.417 0.251
Zr 0.531 0.360 0.408
Zr 0.640 0.469 0.092

- VASP energy: -7.282 eV/atom
- Total moment: 0.00 μB per cell



No. 9
This record from OQMD via LeMat-Bulk describes a relaxed structure of CuAg4. The functional is PBE.

a = 7.034 Å, b = 2.895 Å, c = 8.449 Å
α = 90.00°, β = 104.19°, γ = 90.00°
Atoms (fractional coordinates):
Ag 0.500 0.500 0.000
Ag 0.390 0.000 0.700
Ag 0.088 0.500 0.822
Cu 0.209 0.000 0.101
Ag 0.610 0.000 0.300
Cu 0.791 0.000 0.899
Ag 0.000 0.000 0.500
Ag 0.700 0.500 0.613
Ag 0.912 0.500 0.178
Ag 0.300 0.500 0.387

- Excess energy over the best structure of this formula in the dataset: 0.025 eV per atom
- Energy relative to the elements: 49 meV per atom



No. 10
This record from OQMD via LeMat-Bulk describes a relaxed structure of DyBiI6. The functional is PBE.

a = 7.747 Å, b = 7.747 Å, c = 7.766 Å
α = 99.39°, β = 99.39°, γ = 120.02°
Atoms (fractional coordinates):
I 0.416 0.068 0.759
I 0.228 0.222 0.245
I 0.074 0.429 0.759
Dy 0.166 0.834 0.000
Bi 0.834 0.166 0.000
I 0.571 0.926 0.241
I 0.932 0.584 0.241
I 0.778 0.772 0.755

- VASP energy: -3.175 eV/atom
- Total moment: 0.01 μB per cell



No. 11
This record from OQMD via LeMat-Bulk describes a relaxed structure of BeNbZn2. The functional is PBE.

a = 4.273 Å, b = 4.273 Å, c = 4.273 Å
α = 60.00°, β = 60.00°, γ = 60.00°
Atoms (fractional coordinates):
Zn 0.750 0.750 0.750
Zn 0.000 0.000 0.000
Nb 0.250 0.250 0.250
Be 0.500 0.500 0.500

- VASP energy: -3.877 eV/atom
- Total moment: 0.15 μB per cell



No. 12
This record from OQMD via LeMat-Bulk describes a relaxed structure of Hg3TeCl4. The functional is PBE.

a = 11.835 Å, b = 12.478 Å, c = 13.023 Å
α = 90.00°, β = 90.00°, γ = 90.00°
Atoms (fractional coordinates):
Hg 0.689 0.316 0.772
Hg 0.584 0.909 0.181
Te 0.094 0.393 0.901
Hg 0.784 0.081 0.986
Cl 0.678 0.400 0.281
Cl 0.322 0.600 0.719
Hg 0.916 0.409 0.181
Cl 0.178 0.100 0.719
Cl 0.420 0.287 0.823
Hg 0.189 0.316 0.728
Cl 0.920 0.213 0.177
Hg 0.189 0.184 0.228
Hg 0.084 0.591 0.819
Te 0.594 0.393 0.599
Hg 0.716 0.919 0.486
Te 0.594 0.107 0.099
Cl 0.580 0.713 0.177
Hg 0.216 0.581 0.514
Hg 0.811 0.684 0.272
Hg 0.216 0.919 0.014
Hg 0.784 0.419 0.486
Te 0.406 0.607 0.401
Cl 0.178 0.400 0.219
Cl 0.747 0.659 0.449
Hg 0.584 0.591 0.681
Hg 0.416 0.409 0.319
Te 0.094 0.107 0.401
Hg 0.084 0.909 0.319
Cl 0.253 0.159 0.051
Cl 0.538 0.917 0.396
Cl 0.753 0.341 0.949
Hg 0.311 0.816 0.728
Cl 0.038 0.917 0.104
Te 0.406 0.893 0.901
Cl 0.420 0.213 0.323
Cl 0.253 0.341 0.551
Cl 0.678 0.100 0.781
Cl 0.247 0.659 0.051
Cl 0.822 0.600 0.781
Hg 0.811 0.816 0.772
Cl 0.747 0.841 0.949
Cl 0.580 0.787 0.677
Hg 0.916 0.091 0.681
Cl 0.962 0.417 0.396
Cl 0.962 0.083 0.896
Cl 0.322 0.900 0.219
Cl 0.080 0.713 0.323
Cl 0.080 0.787 0.823
Cl 0.822 0.900 0.281
Hg 0.284 0.081 0.514
Cl 0.462 0.417 0.104
Hg 0.416 0.091 0.819
Cl 0.038 0.583 0.604
Hg 0.311 0.684 0.228
Hg 0.689 0.184 0.272
Te 0.906 0.893 0.599
Cl 0.247 0.841 0.551
Cl 0.753 0.159 0.449
Cl 0.462 0.083 0.604
Hg 0.716 0.581 0.986
Cl 0.538 0.583 0.896
Hg 0.284 0.419 0.014
Cl 0.920 0.287 0.677
Te 0.906 0.607 0.099

- VASP energy: -1.959 eV/atom



No. 13
This record from OQMD via LeMat-Bulk describes a relaxed structure of NaUCd. The functional is PBE.

a = 5.188 Å, b = 5.188 Å, c = 5.188 Å
α = 60.00°, β = 60.00°, γ = 60.00°
Atoms (fractional coordinates):
Cd 0.250 0.250 0.250
Na 0.750 0.750 0.750
U 0.000 0.000 0.000

- Excess energy over the best structure of this formula in the dataset: 0.075 eV per atom
- Total moment: 3.96 μB per cell



No. 14
This record from OQMD via LeMat-Bulk describes a relaxed structure of PrZnInTe3. The functional is PBE.

a = 8.015 Å, b = 8.015 Å, c = 11.924 Å
α = 90.00°, β = 90.00°, γ = 31.95°
Atoms (fractional coordinates):
In 0.758 0.758 0.250
Pr 0.000 0.000 0.000
Zn 0.533 0.533 0.750
Te 0.361 0.361 0.071
Te 0.639 0.639 0.571
Te 0.924 0.924 0.750
Te 0.076 0.076 0.250
In 0.242 0.242 0.750
Zn 0.467 0.467 0.250
Pr 0.000 0.000 0.500
Te 0.361 0.361 0.429
Te 0.639 0.639 0.929

- Excess energy over the best structure of this formula in the dataset: 0.002 eV per atom
- Total moment: 0.00 μB per cell



No. 15
This record from OQMD via LeMat-Bulk describes a relaxed structure of HoZrTlTe3. The functional is PBE.

a = 7.899 Å, b = 7.899 Å, c = 11.517 Å
α = 90.00°, β = 90.00°, γ = 149.78°
Atoms (fractional coordinates):
Te 0.359 0.641 0.486
Te 0.641 0.359 0.986
Te 0.933 0.067 0.750
Tl 0.752 0.248 0.250
Ho 0.570 0.430 0.750
Te 0.359 0.641 0.014
Ho 0.430 0.570 0.250
Te 0.067 0.933 0.250
Tl 0.248 0.752 0.750
Zr 0.000 0.000 0.500
Te 0.641 0.359 0.514
Zr 0.000 0.000 0.000

- Excess energy over the best structure of this formula in the dataset: 0.021 eV per atom
- Total moment: 0.01 μB per cell



No. 16
This record from OQMD via LeMat-Bulk describes a relaxed structure of SrCuNiSb. The functional is PBE.

a = 4.808 Å, b = 4.808 Å, c = 4.808 Å
α = 60.00°, β = 60.00°, γ = 60.00°
Atoms (fractional coordinates):
Sr 0.500 0.500 0.500
Cu 0.750 0.750 0.750
Ni 0.250 0.250 0.250
Sb 0.000 0.000 0.000

- Excess energy over the best structure of this formula in the dataset: 0.000 eV per atom
- Total moment: 0.01 μB per cell



No. 17
This record from OQMD via LeMat-Bulk describes a relaxed structure of NbNiBPt. The functional is PBE.

a = 4.141 Å, b = 4.141 Å, c = 4.141 Å
α = 60.00°, β = 60.00°, γ = 60.00°
Atoms (fractional coordinates):
Pt 0.250 0.250 0.250
B 0.000 0.000 0.000
Nb 0.750 0.750 0.750
Ni 0.500 0.500 0.500

- Excess energy over the best structure of this formula in the dataset: 0.000 eV per atom
- Total moment: 0.00 μB per cell



No. 18
This record from OQMD via LeMat-Bulk describes a relaxed structure of PmPrB4. The functional is PBE.

a = 3.338 Å, b = 3.338 Å, c = 8.239 Å
α = 90.00°, β = 90.00°, γ = 120.00°
Atoms (fractional coordinates):
B 0.333 0.667 0.245
B 0.333 0.667 0.755
Pm 0.000 0.000 0.000
B 0.667 0.333 0.245
Pr 0.000 0.000 0.500
B 0.667 0.333 0.755

- Excess energy over the best structure of this formula in the dataset: 0.000 eV per atom
- Total moment: 0.02 μB per cell



No. 19
This record from OQMD via LeMat-Bulk describes a relaxed structure of YAgSnS3. The functional is PBE.

a = 11.922 Å, b = 3.947 Å, c = 12.458 Å
α = 90.00°, β = 90.00°, γ = 90.00°
Atoms (fractional coordinates):
Sn 0.170 0.750 0.919
S 0.894 0.250 0.449
Y 0.487 0.250 0.849
S 0.514 0.250 0.307
S 0.986 0.750 0.807
Sn 0.670 0.750 0.581
S 0.106 0.750 0.551
S 0.606 0.750 0.949
Ag 0.200 0.250 0.111
S 0.254 0.250 0.800
S 0.014 0.250 0.193
Sn 0.330 0.250 0.419
Y 0.987 0.250 0.651
S 0.394 0.250 0.051
Ag 0.800 0.750 0.889
Ag 0.700 0.250 0.389
Sn 0.830 0.250 0.081
Y 0.513 0.750 0.151
Y 0.013 0.750 0.349
S 0.486 0.750 0.693
S 0.246 0.750 0.300
S 0.746 0.750 0.200
S 0.754 0.250 0.700
Ag 0.300 0.750 0.611

- Excess energy over the best structure of this formula in the dataset: 0.000 eV per atom
- Total moment: 0.01 μB per cell



No. 20
This record from OQMD via LeMat-Bulk describes a relaxed structure of Co3B2Au2. The functional is PBE.

a = 9.357 Å, b = 9.357 Å, c = 2.858 Å
α = 90.00°, β = 90.00°, γ = 161.61°
Atoms (fractional coordinates):
B 0.223 0.777 0.000
Co 0.500 0.500 0.500
Co 0.305 0.695 0.500
Co 0.695 0.305 0.500
Au 0.093 0.907 0.000
Au 0.907 0.093 0.000
B 0.777 0.223 0.000

- VASP energy: -5.903 eV/atom
- Total moment: 1.58 μB per cell